An optimized crystal structure of ZrTi2InHg. Source: the Alexandria database, functional PBE.

a b c (Å): 4.980 4.980 5.282
angles (deg): 90.00 90.00 90.00
Space group P4/mmm (No. 123)
Unique sites:
Zr: 0.000 0.000 0.000 (multiplicity 1)
Ti: 0.000 0.500 0.500 (multiplicity 2)
In: 0.500 0.500 0.000 (multiplicity 1)
Hg: 0.000 0.000 0.500 (multiplicity 1)

Results
DFT formation energy	0.836	eV/atom
DOS at the Fermi energy	4.28	states/eV/cell
total moment	1.0	μB/f.u.
crystal system	tetragonal


An optimized crystal structure of Tl8In6Hg. Source: the Alexandria database, functional PBE.

a b c (Å): 8.6392 8.6392 20.6757
angles (deg): 90.00 90.00 120.00
Space group R-3 (No. 148, hexagonal axes)
Unique sites:
Tl: 0.0000 0.0000 0.0806 (multiplicity 6)
Tl: 0.0419 0.7867 0.6277 (multiplicity 18)
In: 0.0025 0.2303 0.2114 (multiplicity 18)
Hg: 0.0000 0.0000 0.5000 (multiplicity 3)

Results
DFT formation energy	0.047	eV/atom
DOS at the Fermi energy	29.85	states/eV/cell
total moment	0.0	μB/f.u.
crystal system	trigonal


An optimized crystal structure of TlIn2Hg10. Source: the Alexandria database, functional PBE.

a b c (Å): 6.299 15.088 15.411
angles (deg): 90.00 90.00 90.00
Space group Fmmm (No. 69)
Unique sites:
Tl: 0.000 0.000 0.000 (multiplicity 4)
In: 0.250 0.250 0.000 (multiplicity 8)
Hg: 0.000 0.103 0.395 (multiplicity 16)
Hg: 0.000 0.178 0.177 (multiplicity 16)
Hg: 0.250 0.000 0.250 (multiplicity 8)

Results
DFT formation energy	0.043	eV/atom
DOS at the Fermi energy	17.76	states/eV/cell
total moment	0.0	μB/f.u.
crystal system	orthorhombic


An optimized crystal structure of Tl12In5Hg2. Source: the Alexandria database, functional PBE.

a b c (Å): 17.404 11.367 5.910
angles (deg): 90.00 103.32 90.00
Space group C2/m (No. 12)
Unique sites:
Tl: 0.061 0.000 0.285 (multiplicity 4)
Tl: 0.099 0.250 0.620 (multiplicity 8)
Tl: 0.102 0.500 0.045 (multiplicity 4)
Tl: 0.198 0.242 0.205 (multiplicity 8)
In: 0.000 0.500 0.500 (multiplicity 2)
In: 0.188 0.000 0.842 (multiplicity 4)
In: 0.210 0.500 0.591 (multiplicity 4)
Hg: 0.000 0.243 0.000 (multiplicity 4)

Results
DFT formation energy	0.034	eV/atom
DOS at the Fermi energy	19.32	states/eV/cell
total moment	0.0	μB/f.u.
crystal system	monoclinic
polymorph energy (0 for the lowest one)	0.0	kJ/mol of atoms


An optimized crystal structure of Tl5InHg. Source: the Alexandria database, functional PBE.

a b c (Å): 6.252 6.391 11.139
angles (deg): 90.00 90.00 90.00
Space group Imm2 (No. 44)
Unique sites:
Tl: 0.000 0.000 0.000 (multiplicity 2)
Tl: 0.000 0.257 0.515 (multiplicity 4)
Tl: 0.243 0.500 0.237 (multiplicity 4)
In: 0.000 0.500 0.863 (multiplicity 2)
Hg: 0.000 0.000 0.268 (multiplicity 2)

Results
DFT formation energy	0.079	eV/atom
DOS at the Fermi energy	6.75	states/eV/cell
total moment	0.0	μB/f.u.
crystal system	orthorhombic
polymorph energy (0 for the lowest one)	1.0	kJ/mol of atoms


An optimized crystal structure of Tl3In7Hg. Source: the Alexandria database, functional PBE.

a b c (Å): 6.194 6.711 8.517
angles (deg): 67.91 75.95 87.98
Space group P1 (No. 1)
Unique sites:
Tl: 0.000 0.000 0.000 (multiplicity 1)
Tl: 0.125 0.415 0.513 (multiplicity 1)
Tl: 0.471 0.140 0.196 (multiplicity 1)
In: 0.312 0.463 0.846 (multiplicity 1)
In: 0.429 0.698 0.099 (multiplicity 1)
In: 0.624 0.618 0.438 (multiplicity 1)
In: 0.632 0.124 0.751 (multiplicity 1)
In: 0.814 0.604 0.802 (multiplicity 1)
In: 0.922 0.987 0.429 (multiplicity 1)
In: 0.926 0.451 0.169 (multiplicity 1)
Hg: 0.301 0.934 0.625 (multiplicity 1)

Results
DFT formation energy	0.027	eV/atom
DOS at the Fermi energy	4.64	states/eV/cell
total moment	0.0	μB/f.u.
crystal system	triclinic


An optimized crystal structure of Tl3In6Hg. Source: the Alexandria database, functional PBE.

a b c (Å): 6.2912 6.2912 8.5554
angles (deg): 90.00 90.00 120.00
Space group P-31m (No. 162)
Unique sites:
Tl: 0.0000 0.0000 0.0000 (multiplicity 1)
Tl: 0.3333 0.6667 0.0000 (multiplicity 2)
In: 0.0000 0.4116 0.3206 (multiplicity 6)
Hg: 0.0000 0.0000 0.5000 (multiplicity 1)

Results
DFT formation energy	0.046	eV/atom
DOS at the Fermi energy	3.15	states/eV/cell
total moment	0.0	μB/f.u.
crystal system	trigonal


An optimized crystal structure of TlIn9Hg2. Source: the Alexandria database, functional PBE.

a b c (Å): 4.815 4.815 13.964
angles (deg): 90.00 90.00 90.00
Space group P4/mmm (No. 123)
Unique sites:
Tl: 0.000 0.000 0.000 (multiplicity 1)
In: 0.000 0.500 0.175 (multiplicity 4)
In: 0.000 0.500 0.500 (multiplicity 2)
In: 0.500 0.500 0.000 (multiplicity 1)
In: 0.500 0.500 0.338 (multiplicity 2)
Hg: 0.000 0.000 0.336 (multiplicity 2)

Results
DFT formation energy	0.024	eV/atom
DOS at the Fermi energy	5.42	states/eV/cell
total moment	0.0	μB/f.u.
crystal system	tetragonal
polymorph energy (0 for the lowest one)	0.6	kJ/mol of atoms


An optimized crystal structure of Tl4In12Hg. Source: the Alexandria database, functional PBE.

a b c (Å): 14.6311 14.6311 8.9455
angles (deg): 90.00 90.00 120.00
Space group R-3 (No. 148, hexagonal axes)
Unique sites:
Tl: 0.0000 0.0000 0.0000 (multiplicity 3)
Tl: 0.0000 0.5000 0.0000 (multiplicity 9)
In: 0.0202 0.1866 0.8329 (multiplicity 18)
In: 0.0493 0.5979 0.3047 (multiplicity 18)
Hg: 0.0000 0.0000 0.5000 (multiplicity 3)

Results
DFT formation energy	0.226	eV/atom
DOS at the Fermi energy	26.32	states/eV/cell
total moment	0.0	μB/f.u.
crystal system	trigonal


An optimized crystal structure of Tl17InHg11. Source: the Alexandria database, functional PBE.

a b c (Å): 11.877 16.310 10.122
angles (deg): 90.00 120.50 90.00
Space group Cm (No. 8)
Unique sites:
Tl: 0.000 0.000 0.000 (multiplicity 2)
Tl: 0.004 0.000 0.358 (multiplicity 2)
Tl: 0.015 0.304 0.680 (multiplicity 4)
Tl: 0.044 0.363 0.365 (multiplicity 4)
Tl: 0.115 0.500 0.666 (multiplicity 2)
Tl: 0.202 0.202 0.041 (multiplicity 4)
Tl: 0.313 0.000 0.072 (multiplicity 2)
Tl: 0.331 0.319 0.372 (multiplicity 4)
Tl: 0.335 0.000 0.691 (multiplicity 2)
Tl: 0.340 0.337 0.766 (multiplicity 4)
Tl: 0.452 0.150 0.967 (multiplicity 4)
In: 0.328 0.500 0.550 (multiplicity 2)
Hg: 0.093 0.096 0.735 (multiplicity 4)
Hg: 0.141 0.500 0.200 (multiplicity 2)
Hg: 0.183 0.187 0.543 (multiplicity 4)
Hg: 0.233 0.404 0.003 (multiplicity 4)
Hg: 0.278 0.094 0.353 (multiplicity 4)
Hg: 0.498 0.314 0.175 (multiplicity 4)

Results
DFT formation energy	0.000	eV/atom
DOS at the Fermi energy	28.03	states/eV/cell
total moment	0.0	μB/f.u.
crystal system	monoclinic


An optimized crystal structure of TlIn3Hg6. Source: the Alexandria database, functional PBE.

a b c (Å): 8.660 17.788 3.815
angles (deg): 90.00 90.00 90.00
Space group Pnnm (No. 58)
Unique sites:
Tl: 0.000 0.000 0.000 (multiplicity 2)
In: 0.000 0.500 0.000 (multiplicity 2)
In: 0.091 0.175 0.500 (multiplicity 4)
Hg: 0.055 0.716 0.000 (multiplicity 4)
Hg: 0.192 0.591 0.500 (multiplicity 4)
Hg: 0.245 0.880 0.500 (multiplicity 4)

Results
DFT formation energy	0.032	eV/atom
DOS at the Fermi energy	5.45	states/eV/cell
total moment	0.0	μB/f.u.
crystal system	orthorhombic
polymorph energy (0 for the lowest one)	2.7	kJ/mol of atoms


An optimized crystal structure of Tl3In5Hg6. Source: the Alexandria database, functional PBE.

a b c (Å): 5.671 10.401 14.681
angles (deg): 90.00 112.68 90.00
Space group P2/c (No. 13)
Unique sites:
Tl: 0.000 0.229 0.250 (multiplicity 2)
Tl: 0.279 0.253 0.529 (multiplicity 4)
In: 0.000 0.230 0.750 (multiplicity 2)
In: 0.122 0.488 0.872 (multiplicity 4)
In: 0.379 0.109 0.129 (multiplicity 4)
Hg: 0.162 0.030 0.912 (multiplicity 4)
Hg: 0.326 0.385 0.076 (multiplicity 4)
Hg: 0.500 0.133 0.750 (multiplicity 2)
Hg: 0.500 0.433 0.750 (multiplicity 2)

Results
DFT formation energy	0.018	eV/atom
DOS at the Fermi energy	10.89	states/eV/cell
total moment	0.0	μB/f.u.
crystal system	monoclinic